Below is an optimized crystal structure of Ho3InPb2, with properties calculated at the GGA-PBE level.

## Properties
Distance to the lowest polymorph of the same formula   47.0 meV per atom
Energy of formation from the pure elements   -0.368 eV per atom
Space-group type   Pnma, No. 62
Mass density   9.985 g cm⁻³
Uncorrected energy   -104.37 eV/cell

a = 12.5861 Å, b = 4.7173 Å, c = 11.4732 Å
α = 90.00°, β = 90.00°, γ = 90.00°
Fractional coordinates of all 24 atoms:
1 Ho 0.0306 0.2500 0.1246
2 Ho 0.1446 0.7500 0.5815
3 Ho 0.1994 0.2500 0.8213
4 Ho 0.3006 0.7500 0.3213
5 Ho 0.3554 0.2500 0.0815
6 Ho 0.4694 0.7500 0.6246
7 Ho 0.5306 0.2500 0.3754
8 Ho 0.6446 0.7500 0.9185
9 Ho 0.6994 0.2500 0.6787
10 Ho 0.8006 0.7500 0.1787
11 Ho 0.8554 0.2500 0.4185
12 Ho 0.9694 0.7500 0.8754
13 In 0.1504 0.2500 0.3609
14 In 0.3496 0.7500 0.8609
15 In 0.6504 0.2500 0.1391
16 In 0.8496 0.7500 0.6391
17 Pb 0.0034 0.7500 0.3304
18 Pb 0.1772 0.7500 0.0423
19 Pb 0.3228 0.2500 0.5423
20 Pb 0.4966 0.2500 0.8304
21 Pb 0.5034 0.7500 0.1696
22 Pb 0.6772 0.7500 0.4577
23 Pb 0.8228 0.2500 0.9577
24 Pb 0.9966 0.2500 0.6696

---

Below is an optimized crystal structure of HoIn2Pb, with properties calculated at the GGA-PBE level.

## Properties
Energy of formation from the pure elements   -0.180 eV per atom
Space-group type   P4/mmm, No. 123
Mass density   9.146 g cm⁻³
Uncorrected energy   -14.48 eV/cell

a = 3.9240 Å, b = 3.9240 Å, c = 7.0956 Å
α = 90.00°, β = 90.00°, γ = 90.00°
Fractional coordinates of all 4 atoms:
1 Ho 0.0000 0.0000 0.0000
2 In 0.5000 0.5000 0.2547
3 In 0.5000 0.5000 0.7453
4 Pb 0.0000 0.0000 0.5000

---

Below is an optimized crystal structure of HoInPb2, with properties calculated at the GGA-PBE level.

## Properties
Energy of formation from the pure elements   -0.055 eV per atom
Space-group type   R3m, No. 160
Mass density   9.155 g cm⁻³
Uncorrected energy   -14.95 eV/cell

a = 6.9341 Å, b = 6.9341 Å, c = 6.9341 Å
α = 40.33°, β = 40.33°, γ = 40.33°
Fractional coordinates of all 4 atoms:
1 Ho 0.0000 0.0000 0.0000
2 In 0.1739 0.1739 0.1739
3 Pb 0.4167 0.4167 0.4167
4 Pb 0.5903 0.5903 0.5903

---

Below is an optimized crystal structure of Ho6InPb, with properties calculated at the GGA-PBE level.

## Properties
Energy of formation from the pure elements   -0.272 eV per atom
Space-group type   P4/mmm, No. 123
Mass density   9.703 g cm⁻³
Uncorrected energy   -36.09 eV/cell

a = 4.8259 Å, b = 4.8259 Å, c = 9.6381 Å
α = 90.00°, β = 90.00°, γ = 90.00°
Fractional coordinates of all 8 atoms:
1 Ho 0.0000 0.0000 0.0000
2 Ho 0.0000 0.0000 0.5000
3 Ho 0.0000 0.5000 0.2481
4 Ho 0.0000 0.5000 0.7519
5 Ho 0.5000 0.0000 0.2481
6 Ho 0.5000 0.0000 0.7519
7 In 0.5000 0.5000 0.0000
8 Pb 0.5000 0.5000 0.5000

---

Below is an optimized crystal structure of Ho6In6Pb, with properties calculated at the GGA-PBE level.

## Properties
Energy of formation from the pure elements   -0.299 eV per atom
Space-group type   P6/mmm, No. 191
Mass density   8.581 g cm⁻³
Uncorrected energy   -51.49 eV/cell

a = 6.3626 Å, b = 6.3626 Å, c = 10.4086 Å
α = 90.00°, β = 90.00°, γ = 120.00°
Fractional coordinates of all 13 atoms:
1 Ho 0.0000 0.0000 0.1849
2 Ho 0.0000 0.0000 0.8151
3 Ho 0.3333 0.6667 0.0000
4 Ho 0.3333 0.6667 0.5000
5 Ho 0.6667 0.3333 0.0000
6 Ho 0.6667 0.3333 0.5000
7 In 0.0000 0.5000 0.2488
8 In 0.0000 0.5000 0.7512
9 In 0.5000 0.0000 0.2488
10 In 0.5000 0.0000 0.7512
11 In 0.5000 0.5000 0.2488
12 In 0.5000 0.5000 0.7512
13 Pb 0.0000 0.0000 0.5000

---

Below is an optimized crystal structure of Ho5In4Pb, with properties calculated at the GGA-PBE level.

## Properties
Energy of formation from the pure elements   -0.438 eV per atom
Space-group type   P4/mmm, No. 123
Mass density   9.303 g cm⁻³
Uncorrected energy   -41.93 eV/cell

a = 3.5879 Å, b = 3.5879 Å, c = 20.6749 Å
α = 90.00°, β = 90.00°, γ = 90.00°
Fractional coordinates of all 10 atoms:
1 Ho 0.0000 0.0000 0.0000
2 Ho 0.0000 0.0000 0.1973
3 Ho 0.0000 0.0000 0.3956
4 Ho 0.0000 0.0000 0.6044
5 Ho 0.0000 0.0000 0.8027
6 In 0.5000 0.5000 0.0985
7 In 0.5000 0.5000 0.2961
8 In 0.5000 0.5000 0.7039
9 In 0.5000 0.5000 0.9015
10 Pb 0.5000 0.5000 0.5000

---

Below is an optimized crystal structure of HoInPb, with properties calculated at the GGA-PBE level.

## Properties
Distance to the lowest polymorph of the same formula   0.0 meV per atom
Energy of formation from the pure elements   -0.251 eV per atom
Space-group type   P2_1/m, No. 11
Mass density   9.626 g cm⁻³
Uncorrected energy   -23.56 eV/cell

a = 4.6485 Å, b = 6.9479 Å, c = 5.6820 Å
α = 90.00°, β = 113.73°, γ = 90.00°
Fractional coordinates of all 6 atoms:
1 Ho 0.0000 0.0000 0.0000
2 Ho 0.0000 0.5000 0.0000
3 In 0.3470 0.2500 0.6954
4 In 0.6530 0.7500 0.3046
5 Pb 0.3386 0.7500 0.6790
6 Pb 0.6614 0.2500 0.3210

---

Below is an optimized crystal structure of HoIn2Pb, with properties calculated at the GGA-PBE level.

## Properties
Energy of formation from the pure elements   0.398 eV per atom
Space-group type   R-3m, No. 166
Mass density   6.124 g cm⁻³
Uncorrected energy   -12.17 eV/cell

a = 7.3636 Å, b = 7.3636 Å, c = 7.3636 Å
α = 42.22°, β = 42.22°, γ = 42.22°
Fractional coordinates of all 4 atoms:
1 Ho 0.0000 0.0000 0.0000
2 In 0.3543 0.3543 0.3543
3 In 0.6457 0.6457 0.6457
4 Pb 0.5000 0.5000 0.5000

---

Below is an optimized crystal structure of Ho3InPb2, with properties calculated at the GGA-PBE level.

## Properties
Distance to the lowest polymorph of the same formula   0.0 meV per atom
Energy of formation from the pure elements   -0.415 eV per atom
Space-group type   C2/c, No. 15
Mass density   10.205 g cm⁻³
Uncorrected energy   -52.75 eV/cell

a = 8.9388 Å, b = 8.9388 Å, c = 6.4044 Å
α = 100.90°, β = 100.90°, γ = 41.68°
Fractional coordinates of all 12 atoms:
1 Ho 0.1254 0.8746 0.7500
2 Ho 0.2173 0.4475 0.4080
3 Ho 0.4475 0.2173 0.9080
4 Ho 0.5525 0.7827 0.0920
5 Ho 0.7827 0.5525 0.5920
6 Ho 0.8746 0.1254 0.2500
7 In 0.3816 0.6184 0.2500
8 In 0.6184 0.3816 0.7500
9 Pb 0.0513 0.2756 0.0694
10 Pb 0.2756 0.0513 0.5694
11 Pb 0.7244 0.9487 0.4306
12 Pb 0.9487 0.7244 0.9306

---

Below is an optimized crystal structure of Ho3InPb3, with properties calculated at the GGA-PBE level.

## Properties
Energy of formation from the pure elements   -0.279 eV per atom
Space-group type   P6_3/m, No. 176
Mass density   10.262 g cm⁻³
Uncorrected energy   -59.10 eV/cell

a = 8.9109 Å, b = 8.9109 Å, c = 5.7945 Å
α = 90.00°, β = 90.00°, γ = 120.00°
Fractional coordinates of all 14 atoms:
1 Ho 0.0926 0.4514 0.2500
2 Ho 0.3588 0.9074 0.2500
3 Ho 0.4514 0.3588 0.7500
4 Ho 0.5486 0.6412 0.2500
5 Ho 0.6412 0.0926 0.7500
6 Ho 0.9074 0.5486 0.7500
7 In 0.3333 0.6667 0.7500
8 In 0.6667 0.3333 0.2500
9 Pb 0.0580 0.2627 0.7500
10 Pb 0.2047 0.9420 0.7500
11 Pb 0.2627 0.2047 0.2500
12 Pb 0.7373 0.7953 0.7500
13 Pb 0.7953 0.0580 0.2500
14 Pb 0.9420 0.7373 0.2500

---

Below is an optimized crystal structure of Ho2InPb2, with properties calculated at the GGA-PBE level.

## Properties
Distance to the lowest polymorph of the same formula   167.3 meV per atom
Energy of formation from the pure elements   0.012 eV per atom
Space-group type   Fddd, No. 70
Mass density   8.867 g cm⁻³
Uncorrected energy   -38.50 eV/cell

a = 12.0338 Å, b = 10.5124 Å, c = 6.8240 Å
α = 85.10°, β = 60.50°, γ = 34.40°
Fractional coordinates of all 10 atoms:
1 Ho 0.0235 0.7265 0.0235
2 Ho 0.2735 0.9765 0.2735
3 Ho 0.7265 0.0235 0.7265
4 Ho 0.9765 0.2735 0.9765
5 In 0.3750 0.3750 0.3750
6 In 0.6250 0.6250 0.6250
7 Pb 0.0000 0.5000 0.5000
8 Pb 0.5000 0.0000 0.5000
9 Pb 0.5000 0.5000 0.0000
10 Pb 0.5000 0.5000 0.5000

---

Below is an optimized crystal structure of HoIn2Pb, with properties calculated at the GGA-PBE level.

## Properties
Energy of formation from the pure elements   -0.334 eV per atom
Space-group type   P4/mmm, No. 123
Mass density   9.518 g cm⁻³
Uncorrected energy   -15.10 eV/cell

a = 4.5844 Å, b = 4.5844 Å, c = 4.9953 Å
α = 90.00°, β = 90.00°, γ = 90.00°
Fractional coordinates of all 4 atoms:
1 Ho 0.0000 0.0000 0.0000
2 In 0.0000 0.5000 0.5000
3 In 0.5000 0.0000 0.5000
4 Pb 0.5000 0.5000 0.0000

---

Below is an optimized crystal structure of HoInPb, with properties calculated at the GGA-PBE level.

## Properties
Distance to the lowest polymorph of the same formula   51.0 meV per atom
Energy of formation from the pure elements   -0.200 eV per atom
Space-group type   I4mm, No. 107
Mass density   9.734 g cm⁻³
Uncorrected energy   -11.62 eV/cell

a = 6.3411 Å, b = 6.3411 Å, c = 6.3411 Å
α = 145.10°, β = 145.10°, γ = 50.19°
Fractional coordinates of all 3 atoms:
1 Ho 0.0000 0.0000 0.0000
2 In 0.3346 0.3346 0.0000
3 Pb 0.6815 0.6815 0.0000

---

Below is an optimized crystal structure of HoInPb, with properties calculated at the GGA-PBE level.

## Properties
Distance to the lowest polymorph of the same formula   22.3 meV per atom
Energy of formation from the pure elements   -0.229 eV per atom
Space-group type   P3m1, No. 156
Mass density   9.707 g cm⁻³
Uncorrected energy   -11.71 eV/cell

a = 5.2387 Å, b = 5.2387 Å, c = 3.5049 Å
α = 90.00°, β = 90.00°, γ = 120.00°
Fractional coordinates of all 3 atoms:
1 Ho 0.0000 0.0000 0.0000
2 In 0.3333 0.6667 0.3853
3 Pb 0.6667 0.3333 0.6050

---

Below is an optimized crystal structure of HoIn2Pb2, with properties calculated at the GGA-PBE level.

## Properties
Energy of formation from the pure elements   -0.190 eV per atom
Space-group type   Cmcm, No. 63
Mass density   9.725 g cm⁻³
Uncorrected energy   -36.84 eV/cell

a = 13.2548 Å, b = 13.2548 Å, c = 4.6655 Å
α = 90.00°, β = 90.00°, γ = 160.30°
Fractional coordinates of all 10 atoms:
1 Ho 0.1456 0.8544 0.7500
2 Ho 0.8544 0.1456 0.2500
3 In 0.0494 0.9506 0.2500
4 In 0.4536 0.5464 0.2500
5 In 0.5464 0.4536 0.7500
6 In 0.9506 0.0494 0.7500
7 Pb 0.2513 0.7487 0.2500
8 Pb 0.3548 0.6452 0.7500
9 Pb 0.6452 0.3548 0.2500
10 Pb 0.7487 0.2513 0.7500

---

Below is an optimized crystal structure of Ho12In3Pb, with properties calculated at the GGA-PBE level.

## Properties
Energy of formation from the pure elements   -0.267 eV per atom
Space-group type   P4/mmm, No. 123
Mass density   9.355 g cm⁻³
Uncorrected energy   -71.12 eV/cell

a = 4.8222 Å, b = 4.8222 Å, c = 19.3193 Å
α = 90.00°, β = 90.00°, γ = 90.00°
Fractional coordinates of all 16 atoms:
1 Ho 0.0000 0.0000 0.0000
2 Ho 0.0000 0.0000 0.2500
3 Ho 0.0000 0.0000 0.5000
4 Ho 0.0000 0.0000 0.7500
5 Ho 0.0000 0.5000 0.1251
6 Ho 0.0000 0.5000 0.3740
7 Ho 0.0000 0.5000 0.6260
8 Ho 0.0000 0.5000 0.8749
9 Ho 0.5000 0.0000 0.1251
10 Ho 0.5000 0.0000 0.3740
11 Ho 0.5000 0.0000 0.6260
12 Ho 0.5000 0.0000 0.8749
13 In 0.5000 0.5000 0.0000
14 In 0.5000 0.5000 0.2489
15 In 0.5000 0.5000 0.7511
16 Pb 0.5000 0.5000 0.5000

---

Below is an optimized crystal structure of Ho6In5Pb, with properties calculated at the GGA-PBE level.

## Properties
Distance to the lowest polymorph of the same formula   103.1 meV per atom
Energy of formation from the pure elements   -0.329 eV per atom
Space-group type   C2/m, No. 12
Mass density   8.616 g cm⁻³
Uncorrected energy   -48.81 eV/cell

a = 6.3120 Å, b = 6.3120 Å, c = 9.9362 Å
α = 95.57°, β = 95.57°, γ = 118.58°
Fractional coordinates of all 12 atoms:
1 Ho 0.0765 0.4127 0.2461
2 Ho 0.2484 0.2484 0.7499
3 Ho 0.4127 0.0765 0.2461
4 Ho 0.5873 0.9235 0.7539
5 Ho 0.7516 0.7516 0.2501
6 Ho 0.9235 0.5873 0.7539
7 In 0.0000 0.0000 0.0000
8 In 0.1689 0.8311 0.5000
9 In 0.3365 0.6635 0.0000
10 In 0.6635 0.3365 0.0000
11 In 0.8311 0.1689 0.5000
12 Pb 0.5000 0.5000 0.5000

---

Below is an optimized crystal structure of HoInPb2, with properties calculated at the GGA-PBE level.

## Properties
Energy of formation from the pure elements   0.112 eV per atom
Space-group type   R-3m, No. 166
Mass density   9.220 g cm⁻³
Uncorrected energy   -14.29 eV/cell

a = 12.1238 Å, b = 12.1238 Å, c = 12.1238 Å
α = 16.48°, β = 16.48°, γ = 16.48°
Fractional coordinates of all 4 atoms:
1 Ho 0.0000 0.0000 0.0000
2 In 0.5000 0.5000 0.5000
3 Pb 0.0886 0.0886 0.0886
4 Pb 0.9114 0.9114 0.9114

---

Below is an optimized crystal structure of Ho3In2Pb, with properties calculated at the GGA-PBE level.

## Properties
Energy of formation from the pure elements   -0.438 eV per atom
Space-group type   Cmmm, No. 65
Mass density   9.623 g cm⁻³
Uncorrected energy   -25.55 eV/cell

a = 7.8629 Å, b = 7.8629 Å, c = 4.3552 Å
α = 90.00°, β = 90.00°, γ = 143.34°
Fractional coordinates of all 6 atoms:
1 Ho 0.0000 0.0000 0.0000
2 Ho 0.3324 0.6676 0.0000
3 Ho 0.6676 0.3324 0.0000
4 In 0.1706 0.8294 0.5000
5 In 0.8294 0.1706 0.5000
6 Pb 0.5000 0.5000 0.5000

---

Below is an optimized crystal structure of Ho5In2Pb2, with properties calculated at the GGA-PBE level.

## Properties
Energy of formation from the pure elements   -0.466 eV per atom
Space-group type   Cmce, No. 64
Mass density   9.366 g cm⁻³
Uncorrected energy   -79.95 eV/cell

a = 8.8793 Å, b = 8.8793 Å, c = 8.0742 Å
α = 90.00°, β = 90.00°, γ = 54.89°
Fractional coordinates of all 18 atoms:
1 Ho 0.0000 0.0000 0.0000
2 Ho 0.0380 0.6881 0.6725
3 Ho 0.1881 0.5380 0.1725
4 Ho 0.3119 0.9620 0.6725
5 Ho 0.4620 0.8119 0.1725
6 Ho 0.5000 0.5000 0.5000
7 Ho 0.5380 0.1881 0.8275
8 Ho 0.6881 0.0380 0.3275
9 Ho 0.8119 0.4620 0.8275
10 Ho 0.9620 0.3119 0.3275
11 In 0.1266 0.8734 0.3732
12 In 0.3734 0.6266 0.8732
13 In 0.6266 0.3734 0.1268
14 In 0.8734 0.1266 0.6268
15 Pb 0.2088 0.2088 0.0000
16 Pb 0.2912 0.2912 0.5000
17 Pb 0.7088 0.7088 0.5000
18 Pb 0.7912 0.7912 0.0000

---

Below is an optimized crystal structure of HoIn2Pb, with properties calculated at the GGA-PBE level.

## Properties
Energy of formation from the pure elements   -0.286 eV per atom
Space-group type   Imma, No. 74
Mass density   9.350 g cm⁻³
Uncorrected energy   -29.81 eV/cell

a = 6.6031 Å, b = 6.6031 Å, c = 6.6031 Å
α = 121.52°, β = 106.61°, γ = 101.03°
Fractional coordinates of all 8 atoms:
1 Ho 0.3039 0.0539 0.2500
2 Ho 0.6961 0.9461 0.7500
3 In 0.1972 0.0000 0.6972
4 In 0.1972 0.5000 0.1972
5 In 0.8028 0.0000 0.3028
6 In 0.8028 0.5000 0.8028
7 Pb 0.2963 0.5463 0.7500
8 Pb 0.7037 0.4537 0.2500

---

Below is an optimized crystal structure of HoInPb, with properties calculated at the GGA-PBE level.

## Properties
Distance to the lowest polymorph of the same formula   120.9 meV per atom
Energy of formation from the pure elements   -0.130 eV per atom
Space-group type   C2/m, No. 12
Mass density   8.816 g cm⁻³
Uncorrected energy   -22.83 eV/cell

a = 4.8178 Å, b = 4.8178 Å, c = 9.5336 Å
α = 104.70°, β = 104.70°, γ = 60.11°
Fractional coordinates of all 6 atoms:
1 Ho 0.0776 0.0776 0.2319
2 Ho 0.9224 0.9224 0.7681
3 In 0.1929 0.1929 0.5778
4 In 0.8071 0.8071 0.4222
5 Pb 0.3593 0.3593 0.0771
6 Pb 0.6407 0.6407 0.9229

---

Below is an optimized crystal structure of PmHoInPb, with properties calculated at the GGA-PBE level.

## Properties
Distance to the lowest polymorph of the same formula   44.2 meV per atom
Energy of formation from the pure elements   -0.419 eV per atom
Space-group type   F-43m, No. 216
Mass density   9.221 g cm⁻³
Uncorrected energy   -17.45 eV/cell

a = 5.4394 Å, b = 5.4394 Å, c = 5.4394 Å
α = 60.00°, β = 60.00°, γ = 60.00°
Fractional coordinates of all 4 atoms:
1 Pm 0.0000 0.0000 0.0000
2 Ho 0.5000 0.5000 0.5000
3 In 0.7500 0.7500 0.7500
4 Pb 0.2500 0.2500 0.2500